1.
The following is a PBE calculation of Te2As2Pb after structural relaxation, from Alexandria.

a b c (Å): 8.7743 8.7743 3.7308
angles (deg): 90.00 90.00 90.00
Closest atoms and distances in Å follow each position.
Fractional coordinates of all 10 atoms:
Pb  0.0000  0.0000  0.0000  4 Te 3.34, 8 As 3.69, 2 Pb 3.73
Pb  0.5000  0.5000  0.0000  4 Te 3.34, 8 As 3.69, 2 Pb 3.73
As  0.1941  0.6941  0.5000  2 Te 2.69
As  0.6941  0.8059  0.5000  2 Te 2.69
As  0.8059  0.3059  0.5000  2 Te 2.69
As  0.3059  0.1941  0.5000  2 Te 2.69
Te  0.3504  0.8504  0.0000  2 As 2.69
Te  0.8504  0.6496  0.0000  2 As 2.69
Te  0.6496  0.1496  0.0000  2 As 2.69
Te  0.1496  0.3504  0.0000  2 As 2.69

Output
* energy relative to the lowest polymorph listed for this composition: 61.5 meV/atom
* DFT total energy: -3.714 eV per atom
* total moment: 0.000 μB per formula unit
* uncorrected formation energy: 144 meV per atom

***

2.
The following is a PBE calculation of TeAsPb after structural relaxation, from Alexandria.

a b c (Å): 5.5339 5.5339 3.1304
angles (deg): 90.00 90.00 120.00
Closest atoms and distances in Å follow each position.
Fractional coordinates of all 3 atoms:
Pb  0.3333  0.6667  0.1925  2 Pb 3.13, 3 As 3.31, 3 Te 3.33
As  0.0000  0.0000  0.9180  2 As 3.13, 3 Te 3.20, 3 Pb 3.31
Te  0.6667  0.3333  0.8895  2 Te 3.13, 3 As 3.20, 3 Pb 3.33

Output
* energy relative to the lowest polymorph listed for this composition: 144.0 meV/atom
* DFT total energy: -3.621 eV per atom
* total moment: 0.000 μB per formula unit
* uncorrected formation energy: 212 meV per atom

***

3.
The following is a PBE calculation of TeAsPb after structural relaxation, from Alexandria.

a b c (Å): 4.3944 4.3944 5.1868
angles (deg): 90.00 90.00 120.00
Closest atoms and distances in Å follow each position.
Fractional coordinates of all 3 atoms:
Pb  0.3333  0.6667  0.3074  3 As 2.99, 3 Te 3.22
As  0.0000  0.0000  0.0035  3 Pb 2.99, 3 Te 3.02
Te  0.6667  0.3333  0.6892  3 As 3.02, 3 Pb 3.22

Output
* energy relative to the lowest polymorph listed for this composition: 10.8 meV/atom
* DFT total energy: -3.754 eV per atom
* total moment: 0.000 μB per formula unit
* uncorrected formation energy: 79 meV per atom

***

4.
The following is a PBE calculation of TeAsPb3 after structural relaxation, from Alexandria.

a b c (Å): 5.9371 5.9371 5.9371
angles (deg): 90.00 90.00 90.00
Closest atoms and distances in Å follow each position.
Fractional coordinates of all 5 atoms:
Pb  0.0000  0.5000  0.0000  2 Te 2.97
Pb  0.0000  0.0000  0.5000  2 Te 2.97
Pb  0.5000  0.0000  0.0000  2 Te 2.97
As  0.5000  0.5000  0.5000  12 Pb 4.20
Te  0.0000  0.0000  0.0000  6 Pb 2.97

Output
* energy relative to the lowest polymorph listed for this composition: 403.3 meV/atom
* DFT total energy: -3.123 eV per atom
* total moment: 0.000 μB per formula unit
* uncorrected formation energy: 661 meV per atom

***

5.
The following is a PBE calculation of TeAsPb2 after structural relaxation, from Alexandria.

a b c (Å): 4.2872 3.2962 10.9935
angles (deg): 51.10 90.00 90.00
Closest atoms and distances in Å follow each position.
Fractional coordinates of all 4 atoms:
Pb  0.0000  0.8275  0.9613  4 As 3.22-3.29, 2 Te 3.27, 2 Pb 3.30
Pb  0.0000  0.6725  0.5387  4 As 3.22-3.29, 2 Te 3.27, 2 Pb 3.30
As  0.5000  0.7500  0.7500  8 Pb 3.22-3.29, 2 As 3.30
Te  0.5000  0.2500  0.2500  4 Pb 3.27, 2 Te 3.30

Output
* energy relative to the lowest polymorph listed for this composition: 111.2 meV/atom
* DFT total energy: -3.817 eV per atom
* total moment: 0.000 μB per formula unit
* uncorrected formation energy: -15 meV per atom

***

6.
The following is a PBE calculation of Te2As2Pb after structural relaxation, from Alexandria.

a b c (Å): 4.2503 4.2503 9.8864
angles (deg): 77.59 77.59 90.00
Closest atoms and distances in Å follow each position.
Fractional coordinates of all 5 atoms:
Pb  0.0000  0.0000  0.0000  8 As 3.22
As  0.4382  0.4382  0.1236  1 As 2.33
As  0.5618  0.5618  0.8764  1 As 2.33
Te  0.7500  0.2500  0.5000  4 Te 3.01
Te  0.2500  0.7500  0.5000  4 Te 3.01

Output
* energy relative to the lowest polymorph listed for this composition: 129.4 meV/atom
* DFT total energy: -3.646 eV per atom
* total moment: 0.000 μB per formula unit
* uncorrected formation energy: 212 meV per atom

***

7.
The following is a PBE calculation of TeAs4Pb after structural relaxation, from Alexandria.

a b c (Å): 6.0779 6.0779 6.0779
angles (deg): 60.00 60.00 60.00
Closest atoms and distances in Å follow each position.
Fractional coordinates of all 6 atoms:
Te  0.0000  0.0000  0.0000  12 As 3.52, 4 Pb 3.72
As  0.9375  0.3542  0.3542  3 As 2.53
As  0.3542  0.3542  0.9375  3 As 2.53
As  0.3542  0.9375  0.3542  3 As 2.53
As  0.3542  0.3542  0.3542  3 As 2.53
Pb  0.7500  0.7500  0.7500  12 As 3.63, 4 Te 3.72

Output
* DFT total energy: -3.954 eV per atom
* total moment: 0.000 μB per formula unit
* uncorrected formation energy: 287 meV per atom

***

8.
The following is a PBE calculation of TeAsPb2 after structural relaxation, from Alexandria.

a b c (Å): 5.4610 5.4610 5.4610
angles (deg): 60.00 60.00 60.00
Closest atoms and distances in Å follow each position.
Fractional coordinates of all 4 atoms:
Pb  0.2500  0.2500  0.2500  4 As 3.34, 4 Te 3.34
Pb  0.7500  0.7500  0.7500  4 As 3.34, 4 Te 3.34
As  0.0000  0.0000  0.0000  8 Pb 3.34
Te  0.5000  0.5000  0.5000  8 Pb 3.34

Output
* energy relative to the lowest polymorph listed for this composition: 198.4 meV/atom
* DFT total energy: -3.730 eV per atom
* total moment: 0.000 μB per formula unit
* uncorrected formation energy: 72 meV per atom

***

9.
The following is a PBE calculation of Te4As2Pb after structural relaxation, from Alexandria.

a b c (Å): 4.2092 7.2653 14.7584
angles (deg): 90.00 90.00 106.84
Closest atoms and distances in Å follow each position.
Fractional coordinates of all 14 atoms:
Te  0.7688  0.5375  0.1137  3 As 2.80-2.87
Te  0.7688  0.5375  0.3863  3 As 2.80-2.87
Te  0.2312  0.4625  0.8863  3 As 2.80-2.87
Te  0.2312  0.4625  0.6137  3 As 2.80-2.87
Te  0.9216  0.8432  0.7500  2 As 3.00, 2 Pb 3.00
Te  0.0784  0.1568  0.2500  2 As 3.00, 2 Pb 3.00
Te  0.5000  0.0000  0.0000  4 As 3.00
Te  0.5000  0.0000  0.5000  4 As 3.00
As  0.1422  0.2844  0.4439  6 Te 2.80-3.00
As  0.8578  0.7156  0.9439  6 Te 2.80-3.00
As  0.1422  0.2844  0.0561  6 Te 2.80-3.00
As  0.8578  0.7156  0.5561  6 Te 2.80-3.00
Pb  0.5757  0.1515  0.7500  2 Te 3.00
Pb  0.4243  0.8485  0.2500  2 Te 3.00

Output
* DFT total energy: -3.715 eV per atom
* total moment: 0.000 μB per formula unit
* uncorrected formation energy: -61 meV per atom

***

10.
The following is a PBE calculation of TeAsPb2 after structural relaxation, from Alexandria.

a b c (Å): 5.4935 5.4566 3.8063
angles (deg): 90.00 90.00 90.00
Closest atoms and distances in Å follow each position.
Fractional coordinates of all 4 atoms:
Pb  0.0000  0.0000  0.0000  4 As 3.33, 4 Te 3.34
Pb  0.5000  0.5000  0.0000  4 Te 3.33, 4 As 3.34
As  0.0000  0.5000  0.5000  8 Pb 3.33-3.34
Te  0.5000  0.0000  0.5000  8 Pb 3.33-3.34

Output
* energy relative to the lowest polymorph listed for this composition: 192.1 meV/atom
* DFT total energy: -3.736 eV per atom
* total moment: 0.000 μB per formula unit
* uncorrected formation energy: 66 meV per atom

***

11.
The following is a PBE calculation of Tm6Te3As2Pb after structural relaxation, from Alexandria.

a b c (Å): 4.2207 8.5679 9.5228
angles (deg): 103.55 102.80 90.00
Closest atoms and distances in Å follow each position.
Fractional coordinates of all 12 atoms:
Tm  0.3332  0.8896  0.6665  2 As 2.87, 1 Pb 3.01, 3 Te 3.05-3.17
Tm  0.6752  0.5676  0.3504  3 As 2.83-2.87, 2 Te 3.14
Tm  0.6668  0.1104  0.3335  2 As 2.87, 1 Pb 3.01, 3 Te 3.05-3.17
Tm  0.0096  0.2499  0.0193  1 As 2.86, 2 Pb 2.98, 3 Te 3.04-3.14
Tm  0.9904  0.7501  0.9807  1 As 2.86, 2 Pb 2.98, 3 Te 3.04-3.14
Tm  0.3248  0.4324  0.6496  3 As 2.83-2.87, 2 Te 3.14
Te  0.5000  0.5000  0.0000  6 Tm 3.04-3.16
Te  0.8353  0.1669  0.6705  6 Tm 3.05-3.17
Te  0.1647  0.8331  0.3295  6 Tm 3.05-3.17
As  0.8318  0.6620  0.6636  6 Tm 2.83-2.87
As  0.1682  0.3380  0.3364  6 Tm 2.83-2.87
Pb  0.5000  0.0000  0.0000  6 Tm 2.98-3.01

Output
* DFT total energy: -5.329 eV per atom
* total moment: 0.000 μB per formula unit
* uncorrected formation energy: -1224 meV per atom

***

12.
The following is a PBE calculation of Tm4Te2AsPb after structural relaxation, from Alexandria.

a b c (Å): 4.2670 7.4365 7.4130
angles (deg): 70.76 90.00 90.00
Closest atoms and distances in Å follow each position.
Fractional coordinates of all 8 atoms:
Tm  0.0000  0.7318  0.7466  1 As 2.90, 2 Pb 2.99, 3 Te 3.08-3.16
Tm  0.0000  0.2682  0.2534  1 As 2.90, 2 Pb 2.99, 3 Te 3.08-3.16
Tm  0.5000  0.7239  0.2674  2 As 2.90, 1 Pb 2.98, 3 Te 3.09-3.16
Tm  0.5000  0.2761  0.7326  2 As 2.90, 1 Pb 2.98, 3 Te 3.09-3.16
Te  0.0000  0.0000  0.0000  6 Tm 3.16
Te  0.5000  0.0000  0.5000  6 Tm 3.08-3.09
As  0.0000  0.5000  0.5000  6 Tm 2.90
Pb  0.5000  0.5000  0.0000  6 Tm 2.98-2.99

Output
* DFT total energy: -5.193 eV per atom
* total moment: 0.000 μB per formula unit
* uncorrected formation energy: -1127 meV per atom